Below is a geometry-optimized ScInAg2 structure, with properties calculated at the PBE level.

Output
V = 20.3 Å³/atom
E = -3.89 eV/atom
Fermi-level density of states = 2.80 states/eV per cell
ΔE_f = -0.197 eV per atom
total magnetic moment = 0.00 μB/atom

Unit cell a=4.2369 b=4.3570 c=4.3950 alpha=90.00 beta=90.00 gamma=90.00
With the nearest neighbours (Å) after each atom.
Sites, in units of the cell vectors:
Sc 0.0000 0.0000 0.0000  8 Ag 3.04-3.05, 4 In 3.09
In 0.0000 0.5000 0.5000  8 Ag 3.04-3.05, 4 Sc 3.09
Ag 0.5000 0.0000 0.5000  4 In 3.04, 4 Sc 3.05, 4 Ag 3.09
Ag 0.5000 0.5000 0.0000  4 Sc 3.04, 4 In 3.05, 4 Ag 3.09